# PBE BTeRu2, relaxed
data_BTeRu2
_cell_length_a 5.265
_cell_length_b 5.265
_cell_length_c 10.279
_cell_angle_alpha 90.00
_cell_angle_beta 90.00
_cell_angle_gamma 90.00
_space_group_name_H-M_alt 'P 1'
_space_group_IT_number 1
loop_
_space_group_symop_operation_xyz
'x,y,z'
loop_
_atom_site_label
_atom_site_type_symbol
_atom_site_fract_x
_atom_site_fract_y
_atom_site_fract_z
_atom_site_occupancy
B1 B 0.000 0.000 0.000 1
B2 B 0.000 0.500 0.250 1
B3 B 0.500 0.000 0.750 1
B4 B 0.500 0.500 0.500 1
Te1 Te 0.000 0.000 0.500 1
Te2 Te 0.000 0.500 0.750 1
Te3 Te 0.500 0.000 0.250 1
Te4 Te 0.500 0.500 0.000 1
Ru1 Ru 0.161 0.250 0.125 1
Ru2 Ru 0.250 0.661 0.375 1
Ru3 Ru 0.250 0.839 0.875 1
Ru4 Ru 0.339 0.250 0.625 1
Ru5 Ru 0.661 0.750 0.625 1
Ru6 Ru 0.750 0.161 0.875 1
Ru7 Ru 0.750 0.339 0.375 1
Ru8 Ru 0.839 0.750 0.125 1
# VASP energy = -6.79 eV/atom
# total moment = 0.00 μB/f.u.
# polymorph energy (0 for the lowest one) = 0.00 kcal/mol of atoms
# uncorrected formation energy = 1.2 eV/f.u.